# PBE+U KMnIrO6, optimized geometry
# DOS at the Fermi energy in states/eV/atom: 0.35
# Space group: P312
# Final energy in eV/atom: -6.26
# Total moment in μB per cell: 0.96
data_KMnIrO6
_chemical_formula_sum 'K1 Mn1 Ir1 O6'
_cell_length_a 5.1525
_cell_length_b 5.1523
_cell_length_c 6.0248
_cell_angle_alpha 90.00
_cell_angle_beta 90.00
_cell_angle_gamma 60.00
_space_group_name_H-M_alt 'P 1'
_space_group_IT_number 1
_space_group_name_Hall 'P 1'
loop_
_atom_site_label
_atom_site_fract_x
_atom_site_fract_y
_atom_site_fract_z
Mn1 0.6666 0.6667 0.5000
K1 0.0000 0.0000 0.0000
O1 0.9997 0.3860 0.3231
O2 0.9997 0.6143 0.6769
Ir1 0.3333 0.3333 0.5000
O3 0.3860 0.6143 0.3231
O4 0.6143 0.9997 0.3231
O5 0.6143 0.3860 0.6769
O6 0.3860 0.9997 0.6769